1.
Here is a relaxed structure of SrAgAu from Alexandria via LeMat-Bulk. Energies are from PBE-GGA.

POSCAR file:
```
SrAgAu
1.0
0.0000 3.5267 3.5267
3.5267 0.0000 3.5267
3.5267 3.5267 0.0000
Sr Ag Au
1 1 1
direct
0.0000 0.0000 0.0000 Sr
0.5000 0.5000 0.5000 Ag
0.7500 0.7500 0.7500 Au
```

Summary:
formation energy from the elements: -0.4135 eV per atom
space group: F-43m, No. 216
excess energy over the best structure of this formula in the dataset: 0.1239 eV/atom

2.
Here is a relaxed structure of NaTlMo2Os from Alexandria via LeMat-Bulk. Energies are from PBE-GGA.

POSCAR file:
```
NaTlMo2Os
1.0
5.0753 0.0000 0.0000
0.0000 5.0753 0.0000
0.0000 0.0000 5.0026
Na Tl Mo Os
1 1 2 1
direct
0.0000 0.0000 0.0000 Na
0.5000 0.5000 0.5000 Tl
0.0000 0.5000 0.5000 Mo
0.5000 0.0000 0.5000 Mo
0.5000 0.5000 0.0000 Os
```

Summary:
formation energy from the elements: 2.7031 eV per atom
space group: P4/mmm, No. 123

3.
Here is a relaxed structure of AlIr2Cl from Alexandria via LeMat-Bulk. Energies are from PBE-GGA.

POSCAR file:
```
AlIr2Cl
1.0
2.9368 0.0000 0.0000
0.0000 4.3880 0.0000
-0.0249 0.0000 4.7789
Al Ir Cl
1 2 1
direct
0.0000 0.0000 0.0000 Al
0.2551 0.5000 0.7580 Ir
0.7449 0.5000 0.2420 Ir
0.5000 0.0000 0.5000 Cl
```

Summary:
formation energy from raw total energies: 0.2754 eV/atom
space group: P2/m, No. 10
excess energy over the best structure of this formula in the dataset: 0.3272 eV/atom

4.
Here is a relaxed structure of VTcTeI2 from Alexandria via LeMat-Bulk. Energies are from PBE-GGA.

POSCAR file:
```
VTcTeI2
1.0
5.3460 0.0000 0.0000
0.0000 5.3460 0.0000
0.0000 0.0000 4.9188
V Tc Te I
1 1 1 2
direct
0.0000 0.0000 0.0000 V
0.0000 0.0000 0.5000 Tc
0.5000 0.5000 0.5000 Te
0.0000 0.5000 0.0000 I
0.5000 0.0000 0.0000 I
```

Summary:
formation energy from raw total energies: 0.9456 eV/atom
space group: P4/mmm, No. 123
excess energy over the best structure of this formula in the dataset: 0.0000 eV/atom

5.
Here is a relaxed structure of ReRu2W from Alexandria via LeMat-Bulk. Energies are from PBE-GGA.

POSCAR file:
```
ReRu2W
1.0
2.7595 0.0000 0.0000
0.0000 3.8573 0.0000
0.0000 0.0000 5.5368
Re Ru W
1 2 1
direct
0.0000 0.0000 0.0000 Re
0.5000 0.5000 0.2441 Ru
0.5000 0.5000 0.7559 Ru
0.0000 0.0000 0.5000 W
```

Summary:
formation energy from the elements: 0.0220 eV per atom
space group: Pmmm, No. 47
excess energy over the best structure of this formula in the dataset: 0.0095 eV/atom

6.
Here is a relaxed structure of HfV4Pd from Alexandria via LeMat-Bulk. Energies are from PBE-GGA.

POSCAR file:
```
HfV4Pd
1.0
0.0000 3.5760 3.5760
3.5760 0.0000 3.5760
3.5760 3.5760 0.0000
Hf V Pd
1 4 1
direct
0.0000 0.0000 0.0000 Hf
0.1186 0.6271 0.6271 V
0.6271 0.1186 0.6271 V
0.6271 0.6271 0.1186 V
0.6271 0.6271 0.6271 V
0.2500 0.2500 0.2500 Pd
```

Summary:
formation energy from the elements: -0.0279 eV per atom
space group: F-43m, No. 216

7.
Here is a relaxed structure of Li2CdI4 from Alexandria via LeMat-Bulk. Energies are from PBE-GGA.

POSCAR file:
```
Li2CdI4
1.0
6.5369 0.0000 0.0000
0.0000 6.5369 0.0000
0.0000 0.0000 6.2559
Li Cd I
2 1 4
direct
0.0000 0.5000 0.0000 Li
0.5000 0.0000 0.0000 Li
0.0000 0.0000 0.5000 Cd
0.2569 0.2569 0.7501 I
0.2569 0.7431 0.2499 I
0.7431 0.2569 0.2499 I
0.7431 0.7431 0.7501 I
```

Summary:
formation energy from raw total energies: -0.9444 eV/atom
space group: P-42m, No. 111
excess energy over the best structure of this formula in the dataset: 0.0025 eV/atom

8.
Here is a relaxed structure of Hf6SeN2 from Alexandria via LeMat-Bulk. Energies are from PBE-GGA.

POSCAR file:
```
Hf6SeN2
1.0
-5.4591 5.4591 2.5586
5.4591 -5.4591 2.5586
5.4591 5.4591 -2.5586
Hf Se N
12 2 4
direct
0.0978 0.7981 0.8959 Hf
0.1043 0.3957 0.5000 Hf
0.2019 0.0978 0.2997 Hf
0.2981 0.5978 0.8959 Hf
0.3957 0.8957 0.2913 Hf
0.4022 0.2981 0.7003 Hf
0.5978 0.7019 0.2997 Hf
0.6043 0.1043 0.7087 Hf
0.7019 0.4022 0.1041 Hf
0.7981 0.9022 0.7003 Hf
0.8957 0.6043 0.5000 Hf
0.9022 0.2019 0.1041 Hf
0.2500 0.2500 0.0000 Se
0.7500 0.7500 0.0000 Se
0.0983 0.5983 0.6965 N
0.4017 0.0983 0.5000 N
0.5983 0.9017 0.5000 N
0.9017 0.4017 0.3035 N
```

Summary:
formation energy from raw total energies: -0.9123 eV/atom
space group: I4/mcm, No. 140

9.
Here is a relaxed structure of HfZnCoOs from Alexandria via LeMat-Bulk. Energies are from PBE-GGA.

POSCAR file:
```
HfZnCoOs
1.0
0.0000 3.0970 3.0970
3.0970 0.0000 3.0970
3.0970 3.0970 0.0000
Hf Zn Co Os
1 1 1 1
direct
0.0000 0.0000 0.0000 Hf
0.5000 0.5000 0.5000 Zn
0.2500 0.2500 0.2500 Co
0.7500 0.7500 0.7500 Os
```

Summary:
formation energy from the elements: -0.1695 eV per atom
space group: F-43m, No. 216

10.
Here is a relaxed structure of TbSn2 from Alexandria via LeMat-Bulk. Energies are from PBE-GGA.

POSCAR file:
```
TbSn2
1.0
2.9825 -3.0390 0.0000
2.9825 3.0390 0.0000
-2.2726 0.0000 4.6335
Tb Sn
1 2
direct
0.0000 0.0000 0.0000 Tb
0.3649 0.3649 0.6863 Sn
0.6351 0.6351 0.3137 Sn
```

Summary:
formation energy from the elements: -0.3639 eV per atom
space group: C2/m, No. 12

11.
Here is a relaxed structure of KNa from Alexandria via LeMat-Bulk. Energies are from PBE-GGA.

POSCAR file:
```
KNa
1.0
6.7089 0.0000 0.0000
-3.3544 5.8100 0.0000
0.0000 0.0000 7.7976
K Na
2 2
direct
0.3333 0.6667 0.2500 K
0.6667 0.3333 0.7500 K
0.3333 0.6667 0.7500 Na
0.6667 0.3333 0.2500 Na
```

Summary:
formation energy from the elements: 0.2224 eV per atom
space group: P6_3/mmc, No. 194

12.
Here is a relaxed structure of Pm2Nd3Sm6Sc from Alexandria via LeMat-Bulk. Energies are from PBE-GGA.

POSCAR file:
```
Pm2Nd3Sm6Sc
1.0
3.1322 -5.4239 0.0000
3.1322 5.4239 0.0000
-2.0919 0.0000 11.8217
Pm Nd Sm Sc
2 3 6 1
direct
0.1665 0.8335 0.0000 Pm
0.8335 0.1665 0.0000 Pm
0.0000 0.0000 0.5000 Nd
0.3335 0.6665 0.5000 Nd
0.6665 0.3335 0.5000 Nd
0.0890 0.4186 0.7542 Sm
0.2518 0.2518 0.2463 Sm
0.4186 0.0890 0.7542 Sm
0.5814 0.9110 0.2458 Sm
0.7482 0.7482 0.7537 Sm
0.9110 0.5814 0.2458 Sm
0.5000 0.5000 0.0000 Sc
```

Summary:
formation energy from the elements: 0.0267 eV per atom
space group: C2/m, No. 12

13.
Here is a relaxed structure of DyTmRu from Alexandria via LeMat-Bulk. Energies are from PBE-GGA.

POSCAR file:
```
DyTmRu
1.0
0.0000 3.3562 3.3562
3.3562 0.0000 3.3562
3.3562 3.3562 0.0000
Dy Tm Ru
1 1 1
direct
0.0000 0.0000 0.0000 Dy
0.5000 0.5000 0.5000 Tm
0.2500 0.2500 0.2500 Ru
```

Summary:
formation energy from the elements: -0.3156 eV per atom
space group: F-43m, No. 216
excess energy over the best structure of this formula in the dataset: 0.0607 eV/atom

14.
Here is a relaxed structure of SrBeOs2Au from Alexandria via LeMat-Bulk. Energies are from PBE-GGA.

POSCAR file:
```
SrBeOs2Au
1.0
4.2447 0.0000 0.0000
0.0000 4.2447 0.0000
0.0000 0.0000 5.0935
Sr Be Os Au
1 1 2 1
direct
0.0000 0.0000 0.0000 Sr
0.0000 0.0000 0.5000 Be
0.0000 0.5000 0.5000 Os
0.5000 0.0000 0.5000 Os
0.5000 0.5000 0.0000 Au
```

Summary:
formation energy from the elements: 0.8585 eV per atom
space group: P4/mmm, No. 123

15.
Here is a relaxed structure of Sc3TlNi from Alexandria via LeMat-Bulk. Energies are from PBE-GGA.

POSCAR file:
```
Sc3TlNi
1.0
4.8850 0.0000 0.0000
0.0000 4.8850 0.0000
0.0000 0.0000 4.8850
Sc Tl Ni
3 1 1
direct
0.0000 0.0000 0.5000 Sc
0.0000 0.5000 0.0000 Sc
0.5000 0.0000 0.0000 Sc
0.5000 0.5000 0.5000 Tl
0.0000 0.0000 0.0000 Ni
```

Summary:
formation energy from the elements: -0.1526 eV per atom
space group: Pm-3m, No. 221
excess energy over the best structure of this formula in the dataset: 0.1469 eV/atom

16.
Here is a relaxed structure of LiSn4S8 from Alexandria via LeMat-Bulk. Energies are from PBE-GGA.

POSCAR file:
```
LiSn4S8
1.0
3.7425 2.1607 6.4245
-3.7425 2.1607 6.4245
0.0000 -4.3214 6.4245
Li Sn S
1 4 8
direct
0.0000 0.0000 0.0000 Li
0.0000 0.0000 0.5000 Sn
0.0000 0.5000 0.0000 Sn
0.5000 0.0000 0.0000 Sn
0.5000 0.5000 0.5000 Sn
0.2314 0.7508 0.7508 S
0.2429 0.2429 0.2429 S
0.2492 0.2492 0.7686 S
0.2492 0.7686 0.2492 S
0.7508 0.2314 0.7508 S
0.7508 0.7508 0.2314 S
0.7571 0.7571 0.7571 S
0.7686 0.2492 0.2492 S
```

Summary:
formation energy from raw total energies: -0.4861 eV/atom
space group: R-3m, No. 166

17.
Here is a relaxed structure of Zr2OsPb from Alexandria via LeMat-Bulk. Energies are from PBE-GGA.

POSCAR file:
```
Zr2OsPb
1.0
4.5361 0.0000 0.0000
0.0000 4.5361 0.0000
0.0000 0.0000 3.9530
Zr Os Pb
2 1 1
direct
0.0000 0.5000 0.0000 Zr
0.5000 0.0000 0.0000 Zr
0.0000 0.0000 0.5000 Os
0.5000 0.5000 0.5000 Pb
```

Summary:
formation energy from the elements: -0.0172 eV per atom
space group: P4/mmm, No. 123

18.
Here is a relaxed structure of KP3 from Alexandria via LeMat-Bulk. Energies are from PBE-GGA.

POSCAR file:
```
KP3
1.0
3.3266 -7.6344 0.0000
3.3266 7.6344 0.0000
0.0000 0.0000 3.7929
K P
2 6
direct
0.1744 0.8256 0.7500 K
0.8256 0.1744 0.2500 K
0.2731 0.4066 0.7500 P
0.3582 0.6418 0.2500 P
0.4066 0.2731 0.2500 P
0.5934 0.7269 0.7500 P
0.6418 0.3582 0.7500 P
0.7269 0.5934 0.2500 P
```

Summary:
formation energy from the elements: -0.0180 eV per atom
space group: Cmcm, No. 63
excess energy over the best structure of this formula in the dataset: 0.0839 eV/atom

19.
Here is a relaxed structure of HoGa3Pd2 from Alexandria via LeMat-Bulk. Energies are from PBE-GGA.

POSCAR file:
```
HoGa3Pd2
1.0
-2.1454 3.7900 6.7587
2.1454 -3.7900 6.7587
2.1454 3.7900 -6.7587
Ho Ga Pd
2 6 4
direct
0.1309 0.1309 0.0000 Ho
0.8691 0.8691 0.0000 Ho
0.1152 0.3229 0.7924 Ga
0.3389 0.0000 0.3389 Ga
0.4695 0.6771 0.7924 Ga
0.5305 0.3229 0.2076 Ga
0.6611 0.0000 0.6611 Ga
0.8848 0.6771 0.2076 Ga
0.1786 0.5000 0.6786 Pd
0.3066 0.8066 0.5000 Pd
0.6934 0.1934 0.5000 Pd
0.8214 0.5000 0.3214 Pd
```

Summary:
formation energy from the elements: -0.6768 eV per atom
space group: Immm, No. 71

20.
Here is a relaxed structure of Ca2LaRu from Alexandria via LeMat-Bulk. Energies are from PBE-GGA.

POSCAR file:
```
Ca2LaRu
1.0
3.0889 -4.3774 0.0000
3.0889 4.3774 0.0000
0.0000 0.0000 3.9619
Ca La Ru
2 1 1
direct
0.0000 0.5000 0.0000 Ca
0.5000 0.0000 0.0000 Ca
0.0000 0.0000 0.5000 La
0.5000 0.5000 0.5000 Ru
```

Summary:
formation energy from the elements: 0.4301 eV per atom
space group: Cmmm, No. 65
excess energy over the best structure of this formula in the dataset: 0.5826 eV/atom

21.
Here is a relaxed structure of TePRhS2 from Alexandria via LeMat-Bulk. Energies are from PBE-GGA.

POSCAR file:
```
TePRhS2
1.0
4.7596 0.0000 0.0000
0.0000 4.7596 0.0000
0.0000 0.0000 4.4704
Te P Rh S
1 1 1 2
direct
0.0000 0.0000 0.0000 Te
0.5000 0.5000 0.0000 P
0.5000 0.5000 0.5000 Rh
0.0000 0.5000 0.5000 S
0.5000 0.0000 0.5000 S
```

Summary:
formation energy from raw total energies: 0.4305 eV/atom
space group: P4/mmm, No. 123
excess energy over the best structure of this formula in the dataset: 0.0000 eV/atom

22.
Here is a relaxed structure of LiMnAs from Alexandria via LeMat-Bulk. Energies are from PBE-GGA.

POSCAR file:
```
LiMnAs
1.0
4.2319 -1.6712 0.0000
4.2319 1.6712 0.0000
-0.9837 0.0000 6.6240
Li Mn As
2 2 2
direct
0.1230 0.1230 0.3389 Li
0.8770 0.8770 0.6611 Li
0.3836 0.3836 0.0258 Mn
0.6164 0.6164 0.9742 Mn
0.1691 0.1691 0.7443 As
0.8309 0.8309 0.2557 As
```

Summary:
formation energy from the elements: -0.2309 eV per atom
space group: C2/m, No. 12
excess energy over the best structure of this formula in the dataset: 0.2325 eV/atom

23.
Here is a relaxed structure of PuAl4Ga from Alexandria via LeMat-Bulk. Energies are from PBE-GGA.

POSCAR file:
```
PuAl4Ga
1.0
2.0931 -6.1988 0.0000
2.0931 6.1988 0.0000
0.0000 0.0000 4.2860
Pu Al Ga
1 4 1
direct
0.0000 0.0000 0.0000 Pu
0.1703 0.8297 0.5000 Al
0.3214 0.6786 0.0000 Al
0.6786 0.3214 0.0000 Al
0.8297 0.1703 0.5000 Al
0.5000 0.5000 0.5000 Ga
```

Summary:
formation energy from the elements: -0.1771 eV per atom
space group: Cmmm, No. 65
excess energy over the best structure of this formula in the dataset: 0.0000 eV/atom

24.
Here is a relaxed structure of LaPr6Dy2Er3 from Alexandria via LeMat-Bulk. Energies are from PBE-GGA.

POSCAR file:
```
LaPr6Dy2Er3
1.0
3.1605 -5.4757 0.0000
3.1605 5.4757 0.0000
-2.1054 0.0000 11.7683
La Pr Dy Er
1 6 2 3
direct
0.0000 0.0000 0.0000 La
0.0848 0.4190 0.2532 Pr
0.2492 0.2492 0.7465 Pr
0.4190 0.0848 0.2532 Pr
0.5810 0.9152 0.7468 Pr
0.7508 0.7508 0.2535 Pr
0.9152 0.5810 0.7468 Pr
0.3335 0.6665 0.0000 Dy
0.6665 0.3335 0.0000 Dy
0.1670 0.8330 0.5000 Er
0.5000 0.5000 0.5000 Er
0.8330 0.1670 0.5000 Er
```

Summary:
formation energy from the elements: 0.0174 eV per atom
space group: C2/m, No. 12

25.
Here is a relaxed structure of HoTh3P4 from Alexandria via LeMat-Bulk. Energies are from PBE-GGA.

POSCAR file:
```
HoTh3P4
1.0
7.1096 0.0000 0.0000
0.0000 8.1987 0.0000
-2.3550 0.0000 6.7203
Ho Th P
2 6 8
direct
0.0000 0.1237 0.2500 Ho
0.0000 0.8763 0.7500 Ho
0.0000 0.3737 0.7500 Th
0.0000 0.6263 0.2500 Th
0.5000 0.1242 0.7500 Th
0.5000 0.3738 0.2500 Th
0.5000 0.6262 0.7500 Th
0.5000 0.8758 0.2500 Th
0.2439 0.1215 0.0004 P
0.2439 0.8785 0.5004 P
0.2469 0.3715 0.4963 P
0.2469 0.6285 0.9963 P
0.7531 0.3715 0.0037 P
0.7531 0.6285 0.5037 P
0.7561 0.1215 0.4996 P
0.7561 0.8785 0.9996 P
```

Summary:
formation energy from the elements: -1.5643 eV per atom
space group: P2/c, No. 13

26.
Here is a relaxed structure of Mn2TlSe from Alexandria via LeMat-Bulk. Energies are from PBE-GGA.

POSCAR file:
```
Mn2TlSe
1.0
5.7556 -1.6270 0.0000
5.7556 1.6270 0.0000
-0.5886 0.0000 4.7862
Mn Tl Se
2 1 1
direct
0.0000 0.0000 0.0000 Mn
0.6917 0.6917 0.0457 Mn
0.5549 0.5549 0.5077 Tl
0.3306 0.3306 0.8952 Se
```

Summary:
formation energy from raw total energies: 0.2033 eV/atom
space group: Cm, No. 8
excess energy over the best structure of this formula in the dataset: 0.0866 eV/atom